# Pa4CrO10

Pa4CrO10 after structural relaxation (PBE with a Hubbard U, the Alexandria database).

The total DFT energy (no corrections) comes out at -289.7 eV/cell. The calculation puts the spin magnetization at 5.93 μB per formula unit. The crystal system is tetragonal.

It has space group I4/m (No. 87), with a = 8.5681 Å, b = 8.5681 Å, c = 5.3935 Å, α = 90.00°, β = 90.00° and γ = 90.00°. The distinct sites, in fractional coordinates, are Pa at (0.1009, 0.7044, 0.0000), Cr at (0.0000, 0.0000, 0.5000), O at (0.0000, 0.5000, 0.2500) and O at (0.1013, 0.2063, 0.2445).